Record 1
Here is a geometry-optimized Li2CrNiO4 structure from Alexandria. Energies are from PBE+U.

abc: 5.199 5.199 7.999
angles: 112.65 112.65 46.05
Sites, in units of the cell vectors:
Li (0.000, 0.000, 0.000)
Li (0.001, 0.001, 0.497)
Li (0.736, 0.736, 0.617)
Li (0.774, 0.774, 0.134)
Cr (0.256, 0.256, 0.876)
Cr (0.259, 0.259, 0.377)
Ni (0.509, 0.509, 0.755)
Ni (0.511, 0.511, 0.253)
O (0.030, 0.030, 0.263)
O (0.043, 0.043, 0.771)
O (0.270, 0.270, 0.641)
O (0.273, 0.273, 0.127)
O (0.480, 0.480, 0.988)
O (0.489, 0.489, 0.494)
O (0.747, 0.747, 0.372)
O (0.748, 0.748, 0.872)

Properties
* total DFT energy (no corrections): -93.07 eV per cell



Record 2
Here is a geometry-optimized Li4Cr3NiO8 structure from Alexandria. Energies are from PBE+U.

abc: 5.129 5.925 10.629
angles: 106.16 94.42 106.97
Sites, in units of the cell vectors:
Li (0.003, 0.442, 0.124)
Li (0.004, 0.183, 0.624)
Li (0.006, 0.692, 0.626)
Li (0.008, 0.933, 0.126)
Li (0.992, 0.067, 0.874)
Li (0.994, 0.308, 0.374)
Li (0.996, 0.817, 0.376)
Li (0.997, 0.558, 0.876)
Cr (0.500, 0.000, 0.000)
Cr (0.500, 0.249, 0.500)
Cr (0.500, 0.375, 0.250)
Cr (0.500, 0.500, 0.000)
Cr (0.500, 0.625, 0.750)
Cr (0.500, 0.751, 0.500)
Ni (0.499, 0.125, 0.749)
Ni (0.501, 0.875, 0.251)
O (0.270, 0.971, 0.560)
O (0.272, 0.225, 0.065)
O (0.273, 0.116, 0.314)
O (0.273, 0.724, 0.063)
O (0.274, 0.365, 0.814)
O (0.275, 0.477, 0.567)
O (0.277, 0.584, 0.314)
O (0.278, 0.834, 0.814)
O (0.722, 0.166, 0.186)
O (0.723, 0.416, 0.686)
O (0.725, 0.523, 0.433)
O (0.726, 0.635, 0.186)
O (0.727, 0.276, 0.937)
O (0.727, 0.884, 0.686)
O (0.728, 0.775, 0.935)
O (0.730, 0.029, 0.440)

Properties
* energy relative to the lowest polymorph listed for this composition: 1.2 meV per atom